No. 1
Computed, not measured: a relaxed structure of Ho3Cd2Hg3 at the PBE-GGA level of DFT.

Cell and atoms, written as POSCAR:
```
Ho3Cd2Hg3
1.0
3.777 0.000 0.000
0.000 6.842 -3.950
0.000 0.000 7.901
Ho Cd Hg
3 2 3
Direct
0.500 0.367 0.367
0.500 0.633 0.000
0.500 0.000 0.633
0.000 0.333 0.667
0.000 0.667 0.333
0.000 0.747 0.747
0.000 0.253 0.000
0.000 0.000 0.253
```

## Properties
D(E_F) (states/eV per cell): 4.13
ΔE to the lowest computed polymorph (kcal/mol of atoms): 1.31
Crystal system: hexagonal
Formation energy (eV/f.u.): -2.41



No. 2
Computed, not measured: a relaxed structure of Ho12Cd5Hg2 at the PBE-GGA level of DFT.

Cell and atoms, written as POSCAR:
```
Ho12Cd5Hg2
1.0
10.451 0.000 0.000
-5.225 6.011 1.692
0.000 -0.307 8.248
Ho Cd Hg
12 5 2
Direct
0.875 0.750 0.146
0.016 0.657 0.808
0.640 0.657 0.808
0.160 0.790 0.392
0.630 0.790 0.392
0.413 0.826 0.705
0.587 0.174 0.295
0.840 0.210 0.608
0.370 0.210 0.608
0.984 0.343 0.192
0.360 0.343 0.192
0.125 0.250 0.854
0.241 0.482 0.473
0.372 0.744 0.099
0.000 0.000 0.500
0.628 0.256 0.901
0.759 0.518 0.527
0.743 0.000 0.000
0.257 0.000 0.000
```

## Properties
D(E_F) (states/eV per cell): 21.24
Crystal system: monoclinic
Formation energy (eV/f.u.): -3.08



- Look up the D(E_F) of the second one.
  21.24 states/eV per cell